Entry 1:
# Np2InIr (GGA-PBE, optimized geometry)
data_Np2InIr
_space_group_name_H-M_alt 'R -3 m'
_space_group_IT_number 166
_space_group_name_Hall '-R 3 2"'
_cell_length_a 2.8966
_cell_length_b 2.8966
_cell_length_c 32.6003
_cell_angle_alpha 90.00
_cell_angle_beta 90.00
_cell_angle_gamma 120.00
loop_
_atom_site_label
_atom_site_fract_x
_atom_site_fract_y
_atom_site_fract_z
Np1 0.0000 0.0000 0.2438
In1 0.0000 0.0000 0.0000
Ir1 0.0000 0.0000 0.5000
# **Formation enthalpy at 0 K**: 0.114 eV/atom
# **Fermi-level density of states**: 18.37 states/eV/cell
# **Calculated volume**: 19.7 A^3/atom
# **ΔE to the lowest computed polymorph**: 108 meV/atom

***

Entry 2:
# AcBPd5 (GGA-PBE, optimized geometry)
data_AcBPd5
_space_group_name_H-M_alt 'I m m m'
_space_group_IT_number 71
_space_group_name_Hall '-I 2 2'
_cell_length_a 4.583
_cell_length_b 6.014
_cell_length_c 8.930
_cell_angle_alpha 90.00
_cell_angle_beta 90.00
_cell_angle_gamma 90.00
loop_
_atom_site_label
_atom_site_fract_x
_atom_site_fract_y
_atom_site_fract_z
Ac1 0.000 0.000 0.000
B1 0.000 0.000 0.500
Pd1 0.000 0.238 0.333
Pd2 0.000 0.500 0.000
# **Formation enthalpy at 0 K**: -0.512 eV/atom
# **Fermi-level density of states**: 3.65 states/eV/cell
# **Calculated volume**: 17.6 A^3/atom

***

Entry 3:
# CaNp5S8 (GGA-PBE, optimized geometry)
data_CaNp5S8
_space_group_name_H-M_alt 'I -4'
_space_group_IT_number 82
_space_group_name_Hall 'I -4'
_cell_length_a 8.318
_cell_length_b 8.318
_cell_length_c 8.351
_cell_angle_alpha 90.00
_cell_angle_beta 90.00
_cell_angle_gamma 90.00
loop_
_atom_site_label
_atom_site_fract_x
_atom_site_fract_y
_atom_site_fract_z
Ca1 0.000 0.000 0.000
Np1 0.000 0.500 0.750
Np2 0.125 0.251 0.373
S1 0.075 0.328 0.049
S2 0.076 0.178 0.693
# **Fermi-level density of states**: 85.26 states/eV/cell
# **Calculated volume**: 20.6 A^3/atom
# **Raw formation energy**: -1513 meV/atom

***

Entry 4:
# MnTlNi2 (GGA-PBE, optimized geometry)
data_MnTlNi2
_space_group_name_H-M_alt 'P m m 2'
_space_group_IT_number 25
_space_group_name_Hall 'P 2 -2'
_cell_length_a 3.118
_cell_length_b 3.259
_cell_length_c 5.814
_cell_angle_alpha 90.00
_cell_angle_beta 90.00
_cell_angle_gamma 90.00
loop_
_atom_site_label
_atom_site_fract_x
_atom_site_fract_y
_atom_site_fract_z
Mn1 0.000 0.000 0.000
Tl1 0.500 0.500 0.321
Ni1 0.000 0.000 0.582
Ni2 0.500 0.500 0.807
# **Formation enthalpy at 0 K**: 0.255 eV/atom
# **Fermi-level density of states**: 3.20 states/eV/cell
# **Calculated volume**: 14.8 A^3/atom
# **ΔE to the lowest computed polymorph**: 92 meV/atom